DFT (PBE) results for crystalline SrSn2BiC at its relaxed geometry.

Values from the calculation:
- Formation energy: 1.06 eV per atom
- Density: 5.6 Mg/m³
- Spin magnetization: 0.00 μB/cell
- Crystal system: tetragonal
- Volume: 163 Å³/cell

Cell lengths 6.0537, 6.0537, 4.4553 Å; angles 90.00, 90.00, 90.00 degrees
Element x y z (fractional)
Sr: 0.0000 0.0000 0.0000
Sn: 0.0000 0.5000 0.5000
Sn: 0.5000 0.0000 0.5000
Bi: 0.5000 0.5000 0.5000
C: 0.5000 0.5000 0.0000